(1)
Below is a relaxed La2Pm6SmY3 crystal, with properties calculated at the PBE level.

Summary:
- E_tot: -5.19 eV per atom
- Total magnetization: 0.0 μB/cell

Unit cell a=6.3239 b=6.3239 c=12.0719 alpha=95.02 beta=95.02 gamma=120.03
Element x y z (fractional)
La  0.1667  0.8333  0.0000
La  0.8333  0.1667  0.0000
Pm  0.0825  0.4152  0.7458
Pm  0.2521  0.2521  0.2542
Pm  0.4152  0.0825  0.7458
Pm  0.5848  0.9175  0.2542
Pm  0.7479  0.7479  0.7458
Pm  0.9175  0.5848  0.2542
Sm  0.5000  0.5000  0.0000
Y  0.0000  0.0000  0.5000
Y  0.3336  0.6664  0.5000
Y  0.6664  0.3336  0.5000

---

(2)
Below is a relaxed La2PmSm2Y2 crystal, with properties calculated at the PBE level.

Summary:
- E_tot: -5.26 eV per atom
- Total magnetization: 0.0 μB/cell

Unit cell a=6.3260 b=6.3260 c=8.1638 alpha=97.45 beta=97.45 gamma=48.23
Element x y z (fractional)
La  0.1422  0.1422  0.4277
La  0.8578  0.8578  0.5723
Pm  0.0000  0.0000  0.0000
Sm  0.4292  0.4292  0.2824
Sm  0.5708  0.5708  0.7176
Y  0.2846  0.2846  0.8609
Y  0.7154  0.7154  0.1391

---

(3)
Below is a relaxed LaPm6Sm2Y crystal, with properties calculated at the PBE level.

Summary:
- E_tot: -4.82 eV per atom
- Total magnetization: 0.0 μB/cell

Unit cell a=9.0030 b=9.0030 c=9.8724 alpha=94.36 beta=94.36 gamma=118.50
Element x y z (fractional)
La  0.0947  0.9053  0.7500
La  0.9053  0.0947  0.2500
Pm  0.0010  0.7915  0.3785
Pm  0.0735  0.5259  0.1830
Pm  0.2085  0.9990  0.1215
Pm  0.2546  0.6194  0.5550
Pm  0.3806  0.7454  0.9450
Pm  0.4741  0.9265  0.3170
Pm  0.5259  0.0735  0.6830
Pm  0.6194  0.2546  0.0550
Pm  0.7454  0.3806  0.4450
Pm  0.7915  0.0010  0.8785
Pm  0.9265  0.4741  0.8170
Pm  0.9990  0.2085  0.6215
Sm  0.2060  0.3091  0.9575
Sm  0.3091  0.2060  0.4575
Sm  0.6909  0.7940  0.5425
Sm  0.7940  0.6909  0.0425
Y  0.4762  0.5238  0.2500
Y  0.5238  0.4762  0.7500

---

(4)
Below is a relaxed La2PmSmY crystal, with properties calculated at the PBE level.

Summary:
- E_tot: -5.13 eV per atom
- Total magnetization: 0.0 μB/cell

Unit cell a=6.4307 b=5.9069 c=9.8294 alpha=90.00 beta=108.95 gamma=90.00
Element x y z (fractional)
La  0.0392  0.2500  0.4010
La  0.2316  0.2500  0.8006
La  0.7684  0.7500  0.1994
La  0.9608  0.7500  0.5990
Pm  0.3653  0.7500  0.3988
Pm  0.6347  0.2500  0.6012
Sm  0.4317  0.2500  0.1970
Sm  0.5683  0.7500  0.8030
Y  0.1660  0.7500  0.0006
Y  0.8340  0.2500  0.9994

---

(5)
Below is a relaxed La2Pm6SmY crystal, with properties calculated at the PBE level.

Summary:
- E_tot: -4.84 eV per atom
- Total magnetization: 0.0 μB/cell

Unit cell a=8.9357 b=8.9357 c=10.0807 alpha=95.10 beta=95.10 gamma=118.27
Element x y z (fractional)
La  0.1937  0.2922  0.0404
La  0.2922  0.1937  0.5404
La  0.7078  0.8063  0.4596
La  0.8063  0.7078  0.9596
Pm  0.0206  0.5791  0.1876
Pm  0.1210  0.7412  0.5554
Pm  0.2588  0.8790  0.9446
Pm  0.2956  0.5029  0.3791
Pm  0.4209  0.9794  0.3124
Pm  0.4971  0.7044  0.1209
Pm  0.5029  0.2956  0.8791
Pm  0.5791  0.0206  0.6876
Pm  0.7044  0.4971  0.6209
Pm  0.7412  0.1210  0.0554
Pm  0.8790  0.2588  0.4446
Pm  0.9794  0.4209  0.8124
Sm  0.0134  0.9866  0.2500
Sm  0.9866  0.0134  0.7500
Y  0.4051  0.5949  0.7500
Y  0.5949  0.4051  0.2500

---

(6)
Below is a relaxed LaPm2Sm2Y2 crystal, with properties calculated at the PBE level.

Summary:
- E_tot: -5.17 eV per atom
- Total magnetization: 0.0 μB/cell

Unit cell a=6.1878 b=6.1878 c=12.0772 alpha=108.60 beta=108.60 gamma=33.58
Element x y z (fractional)
La  0.0000  0.0000  0.0000
Pm  0.4450  0.4450  0.7263
Pm  0.5550  0.5550  0.2737
Sm  0.3332  0.3332  0.4193
Sm  0.6668  0.6668  0.5807
Y  0.2220  0.2220  0.8592
Y  0.7780  0.7780  0.1408

---

(7)
Below is a relaxed La3Pm3SmZn2 crystal, with properties calculated at the PBE level.

Summary:
- E_tot: -4.05 eV per atom
- Total magnetization: 0.0 μB/cell

Unit cell a=9.2801 b=9.2801 c=3.7065 alpha=90.00 beta=90.00 gamma=120.00
Element x y z (fractional)
La  0.0000  0.3103  0.0000
La  0.3103  0.0000  0.0000
La  0.6897  0.6897  0.0000
Pm  0.0000  0.6181  0.5000
Pm  0.3819  0.3819  0.5000
Pm  0.6181  0.0000  0.5000
Sm  0.0000  0.0000  0.5000
Zn  0.3333  0.6667  0.0000
Zn  0.6667  0.3333  0.0000

---

(8)
Below is a relaxed LaPmSmZr crystal, with properties calculated at the PBE level.

Summary:
- E_tot: -5.51 eV per atom
- Total magnetization: 0.5 μB/cell

Unit cell a=5.5937 b=5.5937 c=5.5937 alpha=60.00 beta=60.00 gamma=60.00
Element x y z (fractional)
La  0.0000  0.0000  0.0000
Pm  0.5000  0.5000  0.5000
Sm  0.7500  0.7500  0.7500
Zr  0.2500  0.2500  0.2500

---

| no. | ΔE_f (eV/atom) |
| --- | --- |
| 1 | 0.0173 |
| 2 | 0.0231 |
| 3 | 0.1152 |
| 4 | 0.0304 |
| 5 | 0.1094 |
| 6 | 0.0880 |
| 7 | -0.0196 |
| 8 | 0.2272 |